Record 1
Crystalline Ca2TaTe at its relaxed geometry, computed with GGA-PBE.

Unit cell a=5.792 b=5.792 c=3.356 alpha=90.00 beta=90.00 gamma=112.31
Last column: magnetic moment on the atom in μB.
Sites, in units of the cell vectors:
1 Ca 0.000 0.000 0.000  0.03
2 Ca 0.500 0.500 0.000  0.03
3 Te 0.000 0.500 0.500  -0.01
4 Ta 0.500 0.000 0.500  0.53

Output
The calculation puts the density of states at the Fermi level at 0.874 states/eV per atom. Its calculated volume is 104 Å³/f.u. The space-group type is No. 65. The uncorrected formation energy comes out at 0.1931 eV/atom. As for the energy: -4.556 eV/atom.

Record 2
Crystalline Na2Ag2Pd at its relaxed geometry, computed with GGA-PBE.

Unit cell a=5.840 b=5.840 c=7.788 alpha=72.53 beta=72.53 gamma=51.88
Sites, in units of the cell vectors:
1 Na 0.458 0.136 0.150
2 Na 0.864 0.542 0.350
3 Na 0.542 0.864 0.850
4 Na 0.136 0.458 0.650
5 Ag 0.732 0.111 0.440
6 Ag 0.889 0.268 0.060
7 Ag 0.268 0.889 0.560
8 Ag 0.111 0.732 0.940
9 Pd 0.302 0.698 0.250
10 Pd 0.698 0.302 0.750

Output
The calculation puts the density of states at the Fermi level at 0.241 states/eV per atom. Its calculated volume is 98 Å³/f.u. The space-group type is No. 15. For the formation energy, the calculation gives -0.049 eV per atom. As for the energy: -2.756 eV/atom.

Record 3
Crystalline Te3P at its relaxed geometry, computed with GGA-PBE.

Unit cell a=6.847 b=10.012 c=8.503 alpha=90.00 beta=90.00 gamma=90.00
Sites, in units of the cell vectors:
1 P 0.597 0.964 0.750
2 P 0.097 0.536 0.250
3 P 0.903 0.464 0.750
4 P 0.403 0.036 0.250
5 Te 0.225 0.002 0.750
6 Te 0.725 0.498 0.250
7 Te 0.275 0.502 0.750
8 Te 0.775 0.998 0.250
9 Te 0.739 0.130 0.939
10 Te 0.239 0.370 0.061
11 Te 0.761 0.630 0.561
12 Te 0.261 0.870 0.439
13 Te 0.261 0.870 0.061
14 Te 0.761 0.630 0.939
15 Te 0.239 0.370 0.439
16 Te 0.739 0.130 0.561

Output
The calculation puts the density of states at the Fermi level at 0.325 states/eV per atom. Its calculated volume is 146 Å³/f.u. The space-group type is No. 62. The uncorrected formation energy comes out at 0.2195 eV/atom. As for the energy: -3.489 eV/atom.